Ca3LaBi2P | GGA-PBE | relaxed

```
7
Lattice="-2.655 2.782 8.310 2.655 -2.782 8.310 2.655 2.782 -8.310" Properties=species:S:1:pos:R:3 pbc="T T T"
Ca 0.000 0.000 0.000
Ca 2.655 0.000 2.881
Ca 0.000 2.782 5.430
La 0.000 0.000 8.310
Bi 2.655 0.000 6.059
Bi 0.000 2.782 2.252
P 2.655 0.000 0.000
```

Output
* energy of formation: -0.946 eV/atom


RbCuNiBr6 | GGA-PBE | relaxed

```
9
Lattice="6.502 0.000 0.000 -2.489 6.017 0.000 -0.463 -0.653 7.687" Properties=species:S:1:pos:R:3 pbc="T T T"
Rb 0.000 0.000 0.000
Cu 0.061 3.794 3.862
Ni 3.127 1.778 3.839
Br 1.948 -0.294 5.195
Br 1.247 2.191 2.404
Br 2.021 3.338 5.292
Br 3.880 0.117 2.314
Br 4.957 1.718 5.362
Br 4.564 3.665 2.507
```

Output
* raw formation energy: -486.6 kJ/mol of formula units


ZrTcCl2 | GGA-PBE | relaxed

```
4
Lattice="-2.167 2.167 3.697 2.167 -2.167 3.697 2.167 2.167 -3.697" Properties=species:S:1:pos:R:3 pbc="T T T"
Zr 0.000 0.000 0.000
Tc 0.000 0.000 3.697
Cl 2.167 0.000 1.848
Cl 0.000 2.167 1.848
```

Output
* raw formation energy: 87.8 kJ/mol of formula units
* E above lowest polymorph: 783 meV per atom